! PtWCl2 (PBE, optimized geometry); values from VASP
! - excess energy over the best structure of this formula in the dataset (eV per atom) = 1.251
! - symmetry = Fm-3m
! - ΔE_f (raw) (kJ per mole of atoms) = 105
! - Fermi-level density of states (states/eV/cell) = 2.93
&SYSTEM
  ibrav = 0, nat = 4, ntyp = 3
/
ATOMIC_SPECIES
Pt 195.08 Pt.upf
W 183.84 W.upf
Cl 35.45 Cl.upf
CELL_PARAMETERS angstrom
0.000 3.170 3.170
3.170 0.000 3.170
3.170 3.170 0.000
ATOMIC_POSITIONS angstrom
Pt 0.000 0.000 0.000
W 3.170 3.170 3.170
Cl 1.585 1.585 1.585
Cl 4.756 4.756 4.756